No. 1
# Tl2CoNi

A relaxed structure of Tl2CoNi (PBE-GGA, Alexandria via LeMat-Bulk).

Its energy above the most stable polymorph in this dataset is 165 meV/atom. The calculation puts the total energy at -0.14129 hartree per atom.

a b c (Å): 4.3420 4.3420 5.6287
angles (deg): 102.52 102.52 43.95
Fractional coordinates of all 4 atoms:
Tl 0.2496 0.2496 0.2487
Tl 0.7504 0.7504 0.7513
Co 0.5000 0.5000 0.0000
Ni 0.0000 0.0000 0.5000


No. 2
# LiInRe2

A relaxed structure of LiInRe2 (PBE-GGA, Alexandria via LeMat-Bulk).

The calculation puts the total energy at -0.26431 hartree per atom.

a b c (Å): 4.4308 4.4308 4.4308
angles (deg): 119.94 119.94 90.11
Fractional coordinates of all 4 atoms:
Li 0.0000 0.0000 0.0000
In 0.2500 0.7500 0.5000
Re 0.5000 0.5000 0.0000
Re 0.7500 0.2500 0.5000


No. 3
# LaGdCu4

A relaxed structure of LaGdCu4 (PBE-GGA, Alexandria via LeMat-Bulk).

The calculation puts the total energy at -0.22038 hartree per atom.

a b c (Å): 5.3608 5.3608 5.3608
angles (deg): 60.00 60.00 60.00
Fractional coordinates of all 6 atoms:
La 0.0000 0.0000 0.0000
Gd 0.2500 0.2500 0.2500
Cu 0.1286 0.6238 0.6238
Cu 0.6238 0.1286 0.6238
Cu 0.6238 0.6238 0.1286
Cu 0.6238 0.6238 0.6238


No. 4
# Cs2KU3S8

A relaxed structure of Cs2KU3S8 (PBE-GGA, Alexandria via LeMat-Bulk).

The calculation puts the total energy at -0.23289 hartree per atom. As for the formation energy without anion corrections: -19.03 eV/f.u.

a b c (Å): 9.4985 9.4985 9.4985
angles (deg): 51.35 51.35 51.35
Fractional coordinates of all 14 atoms:
Cs 0.0000 0.0000 0.0000
Cs 0.3627 0.3627 0.3627
K 0.7429 0.7429 0.7429
U 0.3636 0.3636 0.8625
U 0.3636 0.8625 0.3636
U 0.8625 0.3636 0.3636
S 0.1028 0.1028 0.5501
S 0.1028 0.5501 0.1028
S 0.1399 0.1399 0.1399
S 0.1745 0.6223 0.6223
S 0.5501 0.1028 0.1028
S 0.5889 0.5889 0.5889
S 0.6223 0.1745 0.6223
S 0.6223 0.6223 0.1745


No. 5
# HfZrB2

A relaxed structure of HfZrB2 (PBE-GGA, Alexandria via LeMat-Bulk).

Its energy above the most stable polymorph in this dataset is 851 meV/atom. The calculation puts the total energy at -0.28689 hartree per atom.

a b c (Å): 4.2624 4.2624 4.2624
angles (deg): 60.00 60.00 60.00
Fractional coordinates of all 4 atoms:
Hf 0.0000 0.0000 0.0000
Zr 0.5000 0.5000 0.5000
B 0.2500 0.2500 0.2500
B 0.7500 0.7500 0.7500


No. 6
# Ca2Mg17Cd3

A relaxed structure of Ca2Mg17Cd3 (PBE-GGA, Alexandria via LeMat-Bulk).

The calculation puts the total energy at -0.05369 hartree per atom.

a b c (Å): 8.3816 8.3816 8.3816
angles (deg): 83.85 83.85 83.85
Fractional coordinates of all 22 atoms:
Ca 0.1431 0.1431 0.1431
Ca 0.8569 0.8569 0.8569
Mg 0.0000 0.5000 0.5000
Mg 0.1683 0.1683 0.6892
Mg 0.1683 0.6892 0.1683
Mg 0.2433 0.5000 0.7567
Mg 0.2433 0.7567 0.5000
Mg 0.3108 0.8317 0.8317
Mg 0.3944 0.3944 0.3944
Mg 0.5000 0.0000 0.5000
Mg 0.5000 0.2433 0.7567
Mg 0.5000 0.5000 0.0000
Mg 0.5000 0.7567 0.2433
Mg 0.6056 0.6056 0.6056
Mg 0.6892 0.1683 0.1683
Mg 0.7567 0.2433 0.5000
Mg 0.7567 0.5000 0.2433
Mg 0.8317 0.3108 0.8317
Mg 0.8317 0.8317 0.3108
Cd 0.0000 0.0000 0.5000
Cd 0.0000 0.5000 0.0000
Cd 0.5000 0.0000 0.0000


No. 7
# Dy3Mg3Zn2

A relaxed structure of Dy3Mg3Zn2 (PBE-GGA, Alexandria via LeMat-Bulk).

The calculation puts the total energy at -0.10277 hartree per atom.

a b c (Å): 7.7961 7.7961 3.7736
angles (deg): 90.00 90.00 120.00
Fractional coordinates of all 8 atoms:
Dy 0.0000 0.4134 0.0000
Dy 0.4134 0.0000 0.0000
Dy 0.5866 0.5866 0.0000
Mg 0.0000 0.7671 0.5000
Mg 0.2329 0.2329 0.5000
Mg 0.7671 0.0000 0.5000
Zn 0.3333 0.6667 0.5000
Zn 0.6667 0.3333 0.5000


No. 8
# Cs3KPt

A relaxed structure of Cs3KPt (PBE-GGA, Alexandria via LeMat-Bulk).

Its energy above the most stable polymorph in this dataset is 0 meV/atom. The calculation puts the total energy at -0.07219 hartree per atom.

a b c (Å): 11.6636 5.0675 11.9619
angles (deg): 90.00 107.96 90.00
Fractional coordinates of all 10 atoms:
Cs 0.0278 0.2500 0.2763
Cs 0.2648 0.7500 0.1636
Cs 0.2819 0.2500 0.8845
Cs 0.7181 0.7500 0.1155
Cs 0.7352 0.2500 0.8364
Cs 0.9722 0.7500 0.7237
K 0.3776 0.7500 0.5809
K 0.6224 0.2500 0.4191
Pt 0.0228 0.2500 0.9916
Pt 0.9772 0.7500 0.0084


No. 9
# Mn2TlCd

A relaxed structure of Mn2TlCd (PBE-GGA, Alexandria via LeMat-Bulk).

The calculation puts the total energy at -0.18344 hartree per atom.

a b c (Å): 3.3739 3.3739 6.5847
angles (deg): 90.00 90.00 90.00
Fractional coordinates of all 4 atoms:
Mn 0.0000 0.0000 0.2380
Mn 0.0000 0.0000 0.7620
Tl 0.5000 0.5000 0.5000
Cd 0.5000 0.5000 0.0000


No. 10
# HoPd5Au4

A relaxed structure of HoPd5Au4 (PBE-GGA, Alexandria via LeMat-Bulk).

The calculation puts the total energy at -0.17090 hartree per atom.

a b c (Å): 8.1541 9.5964 4.7660
angles (deg): 90.00 90.00 90.00
Fractional coordinates of all 20 atoms:
Ho 0.2500 0.2500 0.0453
Ho 0.7500 0.7500 0.9547
Pd 0.0828 0.5045 0.7571
Pd 0.0828 0.9955 0.7571
Pd 0.2500 0.7500 0.8356
Pd 0.4172 0.5045 0.7571
Pd 0.4172 0.9955 0.7571
Pd 0.5828 0.0045 0.2429
Pd 0.5828 0.4955 0.2429
Pd 0.7500 0.2500 0.1644
Pd 0.9172 0.0045 0.2429
Pd 0.9172 0.4955 0.2429
Au 0.0104 0.2500 0.5467
Au 0.2500 0.5510 0.2603
Au 0.2500 0.9490 0.2603
Au 0.4896 0.2500 0.5467
Au 0.5104 0.7500 0.4533
Au 0.7500 0.0510 0.7397
Au 0.7500 0.4490 0.7397
Au 0.9896 0.7500 0.4533


No. 11
# La3PrRh

A relaxed structure of La3PrRh (PBE-GGA, Alexandria via LeMat-Bulk).

Its energy above the most stable polymorph in this dataset is 59 meV/atom. The calculation puts the total energy at -0.20545 hartree per atom.

a b c (Å): 5.6711 5.6711 5.6711
angles (deg): 90.00 90.00 90.00
Fractional coordinates of all 5 atoms:
La 0.0000 0.0000 0.5000
La 0.0000 0.5000 0.0000
La 0.5000 0.0000 0.0000
Pr 0.5000 0.5000 0.5000
Rh 0.0000 0.0000 0.0000


No. 12
# NdZrCuPt

A relaxed structure of NdZrCuPt (PBE-GGA, Alexandria via LeMat-Bulk).

The calculation puts the total energy at -0.23235 hartree per atom.

a b c (Å): 4.8953 4.8953 4.8953
angles (deg): 60.00 60.00 60.00
Fractional coordinates of all 4 atoms:
Nd 0.0000 0.0000 0.0000
Zr 0.5000 0.5000 0.5000
Cu 0.2500 0.2500 0.2500
Pt 0.7500 0.7500 0.7500


No. 13
# Pm3YSc2Se6

A relaxed structure of Pm3YSc2Se6 (PBE-GGA, Alexandria via LeMat-Bulk).

The calculation puts the total energy at -0.22995 hartree per atom. As for the formation energy without anion corrections: -20.80 eV/f.u.

a b c (Å): 7.0084 7.0084 7.1506
angles (deg): 99.39 99.39 120.22
Fractional coordinates of all 12 atoms:
Pm 0.0000 0.0000 0.0000
Pm 0.3388 0.6612 0.0000
Pm 0.6612 0.3388 0.0000
Y 0.5000 0.5000 0.5000
Sc 0.1660 0.8340 0.5000
Sc 0.8340 0.1660 0.5000
Se 0.0796 0.4234 0.2694
Se 0.2315 0.2315 0.7257
Se 0.4234 0.0796 0.2694
Se 0.5766 0.9204 0.7306
Se 0.7685 0.7685 0.2743
Se 0.9204 0.5766 0.7306


No. 14
# LaSe2Cl

A relaxed structure of LaSe2Cl (PBE-GGA, Alexandria via LeMat-Bulk).

Its energy above the most stable polymorph in this dataset is 405 meV/atom. The calculation puts the total energy at -0.16737 hartree per atom. As for the formation energy without anion corrections: -4.47 eV/f.u.

a b c (Å): 5.5370 5.5370 5.5370
angles (deg): 130.62 130.62 72.42
Fractional coordinates of all 4 atoms:
La 0.0000 0.0000 0.0000
Se 0.2500 0.7500 0.5000
Se 0.5000 0.5000 0.0000
Cl 0.7500 0.2500 0.5000


No. 15
# LiY2Mo

A relaxed structure of LiY2Mo (PBE-GGA, Alexandria via LeMat-Bulk).

Its energy above the most stable polymorph in this dataset is 98 meV/atom. The calculation puts the total energy at -0.22380 hartree per atom.

a b c (Å): 5.1435 5.1435 3.4887
angles (deg): 90.00 90.00 90.00
Fractional coordinates of all 4 atoms:
Li 0.0000 0.0000 0.0000
Y 0.0000 0.5000 0.5000
Y 0.5000 0.0000 0.5000
Mo 0.5000 0.5000 0.0000


No. 16
# TaTc2P

A relaxed structure of TaTc2P (PBE-GGA, Alexandria via LeMat-Bulk).

The calculation puts the total energy at -0.35226 hartree per atom.

a b c (Å): 2.9233 4.3031 4.7998
angles (deg): 90.00 93.33 90.00
Fractional coordinates of all 4 atoms:
Ta 0.0000 0.0000 0.0000
Tc 0.3372 0.5000 0.7430
Tc 0.6628 0.5000 0.2570
P 0.5000 0.0000 0.5000


No. 17
# ErTlNi

A relaxed structure of ErTlNi (PBE-GGA, Alexandria via LeMat-Bulk).

The calculation puts the total energy at -0.16410 hartree per atom.

a b c (Å): 4.5211 4.5211 7.9284
angles (deg): 106.68 106.68 60.13
Fractional coordinates of all 6 atoms:
Er 0.2457 0.2457 0.2384
Er 0.7543 0.7543 0.7616
Tl 0.0000 0.0000 0.5000
Tl 0.5000 0.5000 0.0000
Ni 0.3680 0.3680 0.6030
Ni 0.6320 0.6320 0.3970


No. 18
# MnCr2As

A relaxed structure of MnCr2As (PBE-GGA, Alexandria via LeMat-Bulk).

The calculation puts the total energy at -0.29850 hartree per atom.

a b c (Å): 2.6998 3.9656 4.6661
angles (deg): 90.00 99.75 90.00
Fractional coordinates of all 4 atoms:
Mn 0.0000 0.0000 0.0000
Cr 0.3509 0.5000 0.7963
Cr 0.5941 0.0000 0.5285
As 0.0144 0.5000 0.2849


No. 19
# InHRh3

A relaxed structure of InHRh3 (PBE-GGA, Alexandria via LeMat-Bulk).

Its energy above the most stable polymorph in this dataset is 316 meV/atom. The calculation puts the total energy at -0.20274 hartree per atom.

a b c (Å): 5.1149 5.1149 5.1149
angles (deg): 89.00 89.00 89.00
Fractional coordinates of all 10 atoms:
In 0.0000 0.0000 0.0000
In 0.5000 0.5000 0.5000
H 0.2500 0.2500 0.2500
H 0.7500 0.7500 0.7500
Rh 0.0116 0.7500 0.4884
Rh 0.2500 0.5116 0.9884
Rh 0.4884 0.0116 0.7500
Rh 0.5116 0.9884 0.2500
Rh 0.7500 0.4884 0.0116
Rh 0.9884 0.2500 0.5116


No. 20
# Tl2CdAgBr5

A relaxed structure of Tl2CdAgBr5 (PBE-GGA, Alexandria via LeMat-Bulk).

The calculation puts the total energy at -0.09605 hartree per atom. As for the formation energy without anion corrections: -6.66 eV/f.u.

a b c (Å): 9.9425 9.9425 14.1868
angles (deg): 90.00 90.00 155.06
Fractional coordinates of all 18 atoms:
Tl 0.1027 0.8973 0.5000
Tl 0.1322 0.8678 0.1361
Tl 0.8678 0.1322 0.6361
Tl 0.8973 0.1027 0.0000
Cd 0.2149 0.7851 0.8498
Cd 0.7851 0.2149 0.3498
Ag 0.4480 0.5520 0.2663
Ag 0.5520 0.4480 0.7663
Br 0.0701 0.9299 0.8788
Br 0.2764 0.7236 0.4850
Br 0.3008 0.6992 0.2174
Br 0.3566 0.6434 0.8279
Br 0.4940 0.5060 0.6009
Br 0.5060 0.4940 0.1009
Br 0.6434 0.3566 0.3279
Br 0.6992 0.3008 0.7174
Br 0.7236 0.2764 0.9850
Br 0.9299 0.0701 0.3788


No. 21
# LiC5

A relaxed structure of LiC5 (PBE-GGA, Alexandria via LeMat-Bulk).

Its energy above the most stable polymorph in this dataset is 1651 meV/atom. The calculation puts the total energy at -0.20806 hartree per atom.

a b c (Å): 3.0184 3.0184 7.9680
angles (deg): 90.00 90.00 120.00
Fractional coordinates of all 6 atoms:
Li 0.0000 0.0000 0.0000
C 0.0000 0.5000 0.5000
C 0.3333 0.6667 0.0000
C 0.5000 0.0000 0.5000
C 0.5000 0.5000 0.5000
C 0.6667 0.3333 0.0000


No. 22
# CdFeW2

A relaxed structure of CdFeW2 (PBE-GGA, Alexandria via LeMat-Bulk).

The calculation puts the total energy at -0.31340 hartree per atom.

a b c (Å): 2.7384 2.7384 9.0076
angles (deg): 90.00 90.00 108.21
Fractional coordinates of all 4 atoms:
Cd 0.0000 0.0000 0.0000
Fe 0.5000 0.5000 0.7484
W 0.0000 0.0000 0.5279
W 0.5000 0.5000 0.2799


No. 23
# Ca2ZnAs

A relaxed structure of Ca2ZnAs (PBE-GGA, Alexandria via LeMat-Bulk).

Its energy above the most stable polymorph in this dataset is 81 meV/atom. The calculation puts the total energy at -0.11591 hartree per atom.

a b c (Å): 4.8952 4.8952 4.0119
angles (deg): 90.00 90.00 90.00
Fractional coordinates of all 4 atoms:
Ca 0.0000 0.5000 0.0000
Ca 0.5000 0.0000 0.0000
Zn 0.0000 0.0000 0.5000
As 0.5000 0.5000 0.5000


No. 24
# Cd2CuB2

A relaxed structure of Cd2CuB2 (PBE-GGA, Alexandria via LeMat-Bulk).

Its energy above the most stable polymorph in this dataset is 0 meV/atom. The calculation puts the total energy at -0.11817 hartree per atom.

a b c (Å): 5.8350 5.8350 3.9399
angles (deg): 90.00 90.00 90.00
Fractional coordinates of all 10 atoms:
Cd 0.2080 0.2920 0.0000
Cd 0.2920 0.7920 0.0000
Cd 0.7080 0.2080 0.0000
Cd 0.7920 0.7080 0.0000
Cu 0.0000 0.0000 0.5000
Cu 0.5000 0.5000 0.5000
B 0.1009 0.6009 0.5000
B 0.3991 0.1009 0.5000
B 0.6009 0.8991 0.5000
B 0.8991 0.3991 0.5000